(1)
VCuMo2 | the Alexandria database | PBE-GGA | relaxed; uncorrected energy = -34.3 eV/f.u.; energy relative to the elements = 150 meV/atom; ΔE to the lowest computed polymorph = 0.000 eV/atom
1.0
4.018 0.000 0.000
0.000 3.777 0.000
0.000 0.000 3.777
Mo Cu V
2 1 1
Cartesian
0.000 1.889 0.000 Mo
0.000 0.000 1.889 Mo
2.009 0.000 0.000 Cu
2.009 1.889 1.889 V

***

(2)
VCu2Mo | the Alexandria database | PBE-GGA | relaxed; uncorrected energy = -25.7 eV/f.u.; energy relative to the elements = 602 meV/atom; ΔE to the lowest computed polymorph = 0.208 eV/atom
1.0
6.883 0.000 0.000
0.000 6.883 0.000
3.441 3.441 2.406
Cu Mo V
4 2 2
Cartesian
8.603 8.531 1.804 Cu
1.793 5.162 0.601 Cu
5.162 5.234 1.804 Cu
5.090 1.721 0.601 Cu
6.883 3.441 1.203 Mo
0.000 0.000 0.000 Mo
3.441 6.883 1.203 V
3.441 3.441 0.000 V

***

Question: The lowest energy relative to the elements belongs to which entry?
Answer: VCuMo2

***

Question: Among the records above, which one has the highest ΔE to the lowest computed polymorph?
Answer: VCu2Mo

***

Question: Which value of uncorrected energy does entry 1 give?
Answer: -34.3 eV/f.u.